Here is an optimized crystal structure of Y2ErHgO from Alexandria via LeMat-Bulk. Energies are from PBE.

a = 4.778 Å, b = 4.778 Å, c = 4.714 Å
α = 90.00°, β = 90.00°, γ = 90.00°
Space group P4/mmm (No. 123)
Symmetry-distinct sites (fractional):
1 Y 0.000 0.500 0.000 (multiplicity 2)
2 Er 0.000 0.000 0.500 (multiplicity 1)
3 Hg 0.500 0.500 0.500 (multiplicity 1)
4 O 0.000 0.000 0.000 (multiplicity 1)

Computed properties:
**Raw total energy**: -5.95 eV per atom

Here is an optimized crystal structure of Er3HgOs from Alexandria via LeMat-Bulk. Energies are from PBE.

a = 6.434 Å, b = 9.603 Å, c = 16.001 Å
α = 90.00°, β = 90.00°, γ = 90.00°
Space group Fmmm (No. 69)
Symmetry-distinct sites (fractional):
1 Er 0.000 0.000 0.199 (multiplicity 8)
2 Er 0.000 0.186 0.389 (multiplicity 16)
3 Hg 0.215 0.000 0.000 (multiplicity 8)
4 Os 0.250 0.250 0.250 (multiplicity 8)

Computed properties:
**DFT formation energy**: -0.382 eV per atom

Here is an optimized crystal structure of Er12Hg5Os3 from Alexandria via LeMat-Bulk. Energies are from PBE.

a = 16.888 Å, b = 16.888 Å, c = 16.888 Å
α = 90.00°, β = 90.00°, γ = 90.00°
Space group Ia-3d (No. 230)
Symmetry-distinct sites (fractional):
1 Er 0.016 0.086 0.650 (multiplicity 96)
2 Hg 0.000 0.000 0.000 (multiplicity 16)
3 Hg 0.000 0.250 0.375 (multiplicity 24)
4 Os 0.000 0.250 0.125 (multiplicity 24)

Computed properties:
**DFT formation energy**: 0.093 eV per atom

Here is an optimized crystal structure of Er6Hg2Os from Alexandria via LeMat-Bulk. Energies are from PBE.

a = 6.658 Å, b = 7.591 Å, c = 11.909 Å
α = 90.00°, β = 122.45°, γ = 90.00°
Space group P2_1/c (No. 14)
Symmetry-distinct sites (fractional):
1 Er 0.123 0.186 0.448 (multiplicity 4)
2 Er 0.287 0.682 0.447 (multiplicity 4)
3 Er 0.372 0.020 0.254 (multiplicity 4)
4 Hg 0.193 0.106 0.746 (multiplicity 4)
5 Os 0.000 0.000 0.000 (multiplicity 2)

Computed properties:
**DFT formation energy**: -0.248 eV per atom

Here is an optimized crystal structure of Er8Hg2Os from Alexandria via LeMat-Bulk. Energies are from PBE.

a = 5.050 Å, b = 8.268 Å, c = 13.878 Å
α = 90.00°, β = 90.00°, γ = 90.00°
Space group Immm (No. 71)
Symmetry-distinct sites (fractional):
1 Er 0.000 0.000 0.123 (multiplicity 4)
2 Er 0.000 0.234 0.354 (multiplicity 8)
3 Er 0.000 0.327 0.000 (multiplicity 4)
4 Hg 0.000 0.500 0.199 (multiplicity 4)
5 Os 0.000 0.500 0.500 (multiplicity 2)

Computed properties:
**Energy relative to the lowest polymorph listed for this composition**: 131 meV per atom
**DFT formation energy**: -0.139 eV per atom

Here is an optimized crystal structure of Er6HgOs2 from Alexandria via LeMat-Bulk. Energies are from PBE.

a = 9.327 Å, b = 9.357 Å, c = 10.400 Å
α = 90.00°, β = 90.00°, γ = 90.00°
Space group Immm (No. 71)
Symmetry-distinct sites (fractional):
1 Er 0.000 0.186 0.168 (multiplicity 8)
2 Er 0.184 0.220 0.500 (multiplicity 8)
3 Er 0.204 0.500 0.255 (multiplicity 8)
4 Hg 0.000 0.500 0.000 (multiplicity 2)
5 Hg 0.000 0.500 0.500 (multiplicity 2)
6 Os 0.000 0.000 0.378 (multiplicity 4)
7 Os 0.172 0.000 0.000 (multiplicity 4)

Computed properties:
**DFT formation energy**: -0.318 eV per atom

Here is an optimized crystal structure of Er4HgOs from Alexandria via LeMat-Bulk. Energies are from PBE.

a = 8.577 Å, b = 4.941 Å, c = 8.402 Å
α = 90.00°, β = 109.80°, γ = 90.00°
Space group C2/m (No. 12)
Symmetry-distinct sites (fractional):
1 Er 0.117 0.000 0.349 (multiplicity 4)
2 Er 0.134 0.500 0.901 (multiplicity 4)
3 Hg 0.000 0.500 0.500 (multiplicity 2)
4 Os 0.000 0.000 0.000 (multiplicity 2)

Computed properties:
**Energy relative to the lowest polymorph listed for this composition**: 143 meV per atom
**DFT formation energy**: -0.223 eV per atom

Here is an optimized crystal structure of Er4HgOs from Alexandria via LeMat-Bulk. Energies are from PBE.

a = 8.527 Å, b = 12.635 Å, c = 6.159 Å
α = 90.00°, β = 105.82°, γ = 90.00°
Space group C2/c (No. 15)
Symmetry-distinct sites (fractional):
1 Er 0.105 0.171 0.043 (multiplicity 8)
2 Er 0.219 0.423 0.404 (multiplicity 8)
3 Hg 0.000 0.373 0.750 (multiplicity 4)
4 Os 0.000 0.000 0.250 (multiplicity 4)

Computed properties:
**Energy relative to the lowest polymorph listed for this composition**: 0 meV per atom
**DFT formation energy**: -0.365 eV per atom

Here is an optimized crystal structure of Er8Hg2Os from Alexandria via LeMat-Bulk. Energies are from PBE.

a = 17.503 Å, b = 5.184 Å, c = 6.850 Å
α = 90.00°, β = 109.00°, γ = 90.00°
Space group C2/m (No. 12)
Symmetry-distinct sites (fractional):
1 Er 0.023 0.000 0.292 (multiplicity 4)
2 Er 0.090 0.500 0.926 (multiplicity 4)
3 Er 0.155 0.500 0.459 (multiplicity 4)
4 Er 0.198 0.000 0.800 (multiplicity 4)
5 Hg 0.183 0.000 0.213 (multiplicity 4)
6 Os 0.000 0.500 0.500 (multiplicity 2)

Computed properties:
**Energy relative to the lowest polymorph listed for this composition**: 0 meV per atom
**DFT formation energy**: -0.271 eV per atom

Here is an optimized crystal structure of Er6HgOs from Alexandria via LeMat-Bulk. Energies are from PBE.

a = 6.770 Å, b = 6.780 Å, c = 7.441 Å
α = 90.11°, β = 116.93°, γ = 119.94°
Space group P-1 (No. 2)
Symmetry-distinct sites (fractional):
1 Er 0.034 0.081 0.257 (multiplicity 2)
2 Er 0.304 0.723 0.257 (multiplicity 2)
3 Er 0.323 0.546 0.743 (multiplicity 2)
4 Hg 0.500 0.000 0.000 (multiplicity 1)
5 Os 0.500 0.500 0.500 (multiplicity 1)

Computed properties:
**DFT formation energy**: -0.037 eV per atom

Here is an optimized crystal structure of Er4HgOsPd2 from Alexandria via LeMat-Bulk. Energies are from PBE.

a = 4.9490 Å, b = 4.9490 Å, c = 24.4249 Å
α = 90.00°, β = 90.00°, γ = 120.00°
Space group R-3m (No. 166, hexagonal axes)
Symmetry-distinct sites (fractional):
1 Er 0.0000 0.0000 0.1169 (multiplicity 6)
2 Er 0.0000 0.0000 0.3689 (multiplicity 6)
3 Hg 0.0000 0.0000 0.5000 (multiplicity 3)
4 Os 0.0000 0.0000 0.0000 (multiplicity 3)
5 Pd 0.0000 0.0000 0.2497 (multiplicity 6)

Computed properties:
**DFT formation energy**: -0.651 eV per atom

Here is an optimized crystal structure of PmErHgOs from Alexandria via LeMat-Bulk. Energies are from PBE.

a = 7.157 Å, b = 7.157 Å, c = 7.157 Å
α = 90.00°, β = 90.00°, γ = 90.00°
Space group F-43m (No. 216)
Symmetry-distinct sites (fractional):
1 Pm 0.000 0.000 0.000 (multiplicity 4)
2 Er 0.000 0.000 0.500 (multiplicity 4)
3 Hg 0.250 0.250 0.250 (multiplicity 4)
4 Os 0.250 0.250 0.750 (multiplicity 4)

Computed properties:
**DFT formation energy**: -0.209 eV per atom

Here is an optimized crystal structure of PrErHgOs from Alexandria via LeMat-Bulk. Energies are from PBE.

a = 7.213 Å, b = 7.213 Å, c = 7.213 Å
α = 90.00°, β = 90.00°, γ = 90.00°
Space group F-43m (No. 216)
Symmetry-distinct sites (fractional):
1 Pr 0.000 0.000 0.000 (multiplicity 4)
2 Er 0.000 0.000 0.500 (multiplicity 4)
3 Hg 0.250 0.250 0.250 (multiplicity 4)
4 Os 0.250 0.250 0.750 (multiplicity 4)

Computed properties:
**DFT formation energy**: -0.164 eV per atom

Here is an optimized crystal structure of ErPuHgOs from Alexandria via LeMat-Bulk. Energies are from PBE.

a = 7.077 Å, b = 7.077 Å, c = 7.077 Å
α = 90.00°, β = 90.00°, γ = 90.00°
Space group F-43m (No. 216)
Symmetry-distinct sites (fractional):
1 Er 0.000 0.000 0.000 (multiplicity 4)
2 Pu 0.000 0.000 0.500 (multiplicity 4)
3 Hg 0.250 0.250 0.250 (multiplicity 4)
4 Os 0.250 0.250 0.750 (multiplicity 4)

Computed properties:
**Energy relative to the lowest polymorph listed for this composition**: 178 meV per atom
**DFT formation energy**: -0.062 eV per atom

Here is an optimized crystal structure of ErPuHgOs from Alexandria via LeMat-Bulk. Energies are from PBE.

a = 3.311 Å, b = 3.311 Å, c = 8.198 Å
α = 90.00°, β = 90.00°, γ = 90.00°
Space group P4mm (No. 99)
Symmetry-distinct sites (fractional):
1 Er 0.000 0.000 0.000 (multiplicity 1)
2 Pu 0.000 0.000 0.578 (multiplicity 1)
3 Hg 0.500 0.500 0.281 (multiplicity 1)
4 Os 0.500 0.500 0.790 (multiplicity 1)

Computed properties:
**Energy relative to the lowest polymorph listed for this composition**: 0 meV per atom
**DFT formation energy**: -0.240 eV per atom

Here is an optimized crystal structure of Er5Hg2OsRh2 from Alexandria via LeMat-Bulk. Energies are from PBE.

a = 11.475 Å, b = 11.475 Å, c = 3.496 Å
α = 90.00°, β = 90.00°, γ = 90.00°
Space group P4/mbm (No. 127)
Symmetry-distinct sites (fractional):
1 Er 0.000 0.500 0.000 (multiplicity 2)
2 Er 0.074 0.192 0.000 (multiplicity 8)
3 Hg 0.175 0.675 0.500 (multiplicity 4)
4 Os 0.000 0.000 0.500 (multiplicity 2)
5 Rh 0.132 0.368 0.500 (multiplicity 4)

Computed properties:
**DFT formation energy**: -0.497 eV per atom

Here is an optimized crystal structure of YErHgOs from Alexandria via LeMat-Bulk. Energies are from PBE.

a = 7.070 Å, b = 7.070 Å, c = 7.070 Å
α = 90.00°, β = 90.00°, γ = 90.00°
Space group F-43m (No. 216)
Symmetry-distinct sites (fractional):
1 Y 0.000 0.000 0.000 (multiplicity 4)
2 Er 0.000 0.000 0.500 (multiplicity 4)
3 Hg 0.250 0.250 0.750 (multiplicity 4)
4 Os 0.250 0.250 0.250 (multiplicity 4)

Computed properties:
**DFT formation energy**: -0.274 eV per atom

Here is an optimized crystal structure of ErZrHgOs from Alexandria via LeMat-Bulk. Energies are from PBE.

a = 6.914 Å, b = 6.914 Å, c = 6.914 Å
α = 90.00°, β = 90.00°, γ = 90.00°
Space group F-43m (No. 216)
Symmetry-distinct sites (fractional):
1 Er 0.000 0.000 0.000 (multiplicity 4)
2 Zr 0.000 0.000 0.500 (multiplicity 4)
3 Hg 0.250 0.250 0.250 (multiplicity 4)
4 Os 0.250 0.250 0.750 (multiplicity 4)

Computed properties:
**DFT formation energy**: -0.221 eV per atom

Here is an optimized crystal structure of ErHg2P2Pt7 from Alexandria via LeMat-Bulk. Energies are from PBE.

a = 5.623 Å, b = 5.621 Å, c = 14.753 Å
α = 90.00°, β = 100.89°, γ = 90.00°
Space group C2/m (No. 12)
Symmetry-distinct sites (fractional):
1 Er 0.000 0.000 0.000 (multiplicity 2)
2 Hg 0.204 0.000 0.410 (multiplicity 4)
3 P 0.119 0.500 0.241 (multiplicity 4)
4 Pt 0.000 0.500 0.000 (multiplicity 2)
5 Pt 0.175 0.250 0.849 (multiplicity 8)
6 Pt 0.196 0.500 0.394 (multiplicity 4)

Computed properties:
**DFT formation energy**: -0.561 eV per atom

Here is an optimized crystal structure of Er3HgP2Rh9 from Alexandria via LeMat-Bulk. Energies are from PBE.

a = 6.0169 Å, b = 6.0169 Å, c = 9.5886 Å
α = 90.00°, β = 90.00°, γ = 120.00°
Space group P-3m1 (No. 164)
Symmetry-distinct sites (fractional):
1 Er 0.0000 0.0000 0.0000 (multiplicity 1)
2 Er 0.3333 0.6667 0.7412 (multiplicity 2)
3 Hg 0.0000 0.0000 0.5000 (multiplicity 1)
4 P 0.3333 0.6667 0.1575 (multiplicity 2)
5 Rh 0.0000 0.5000 0.0000 (multiplicity 3)
6 Rh 0.1474 0.2949 0.2570 (multiplicity 6)

Computed properties:
**DFT formation energy**: -0.563 eV per atom